Record 1
! SmGdPt | OQMD | PBE-GGA | optimized geometry; values from VASP
&SYSTEM
  ibrav = 0, nat = 3, ntyp = 3
/
ATOMIC_SPECIES
Pt 195.08 Pt.upf
Gd 157.25 Gd.upf
Sm 150.36 Sm.upf
CELL_PARAMETERS angstrom
0.000 3.393 3.393
3.393 0.000 3.393
3.393 3.393 0.000
ATOMIC_POSITIONS crystal
Pt 0.250 0.250 0.250
Gd 0.000 0.000 0.000
Sm 0.750 0.750 0.750
! energy relative to the elements = -0.12 eV per atom
! energy above the lowest structure with this stoichiometry = 769.2 meV per atom

---

Record 2
! Nd2Ho2SiI5 | OQMD | PBE-GGA | optimized geometry; values from VASP
&SYSTEM
  ibrav = 0, nat = 10, ntyp = 4
/
ATOMIC_SPECIES
Si 28.09 Si.upf
Nd 144.24 Nd.upf
I 126.90 I.upf
Ho 164.93 Ho.upf
CELL_PARAMETERS angstrom
-4.702 -1.404 8.600
-2.529 -5.024 8.148
7.627 4.246 2.664
ATOMIC_POSITIONS crystal
Si 0.500 0.500 0.000
Nd 0.001 0.001 0.787
Nd 0.999 0.999 0.213
I 0.824 0.824 0.153
I 0.176 0.176 0.847
I 0.169 0.169 0.321
I 0.831 0.831 0.679
I 0.500 0.500 0.500
Ho 0.643 0.643 0.072
Ho 0.357 0.357 0.928
! E_tot = -4.381 eV/atom

---

Record 3
! Lu4AlSnN2 | OQMD | PBE-GGA | optimized geometry; values from VASP
&SYSTEM
  ibrav = 0, nat = 8, ntyp = 4
/
ATOMIC_SPECIES
Lu 174.97 Lu.upf
Al 26.98 Al.upf
Sn 118.71 Sn.upf
N 14.01 N.upf
CELL_PARAMETERS angstrom
-3.248 1.039 0.018
1.009 -2.403 -2.200
-3.321 -10.556 10.011
ATOMIC_POSITIONS crystal
Lu 0.000 0.000 0.167
Lu 0.000 0.000 0.833
Lu 0.333 0.667 0.340
Lu 0.333 0.667 0.660
Al 0.000 0.000 0.500
Sn 0.333 0.667 0.000
N 0.667 0.333 0.750
N 0.667 0.333 0.250
! E_tot = -6.420 eV/atom

---

Record 4
! GdTe3PSe | OQMD | PBE-GGA | optimized geometry; values from VASP
&SYSTEM
  ibrav = 0, nat = 12, ntyp = 4
/
ATOMIC_SPECIES
Te 127.60 Te.upf
Se 78.96 Se.upf
P 30.97 P.upf
Gd 157.25 Gd.upf
CELL_PARAMETERS angstrom
-0.455 -7.018 -1.348
5.035 -2.336 4.979
-5.660 -1.126 5.763
ATOMIC_POSITIONS crystal
Te 0.381 0.277 0.103
Te 0.876 0.990 0.236
Te 0.124 0.010 0.764
Te 0.928 0.476 0.252
Te 0.619 0.723 0.897
Te 0.072 0.524 0.748
Se 0.417 0.764 0.344
Se 0.583 0.236 0.656
P 0.683 0.741 0.194
P 0.317 0.259 0.806
Gd 0.794 0.288 0.937
Gd 0.206 0.712 0.063
! E_tot = -4.378 eV/atom